Density functional theory data (SCAN) for KLaOs2 at its PBEsol-relaxed geometry.

The value obtained for the relative energy among the computed polymorphs is 156 meV/atom. The total energy comes out at -190.67 eV/f.u. The density of states at the Fermi level is 2.081 states/eV/f.u. The total magnetization is 0.00 μB per formula unit. The crystal system is orthorhombic.

It has space group Cmmm (No. 65), with a = 5.286 Å, b = 9.451 Å, c = 3.210 Å, α = 90.00°, β = 90.00° and γ = 90.00°. The distinct sites, in fractional coordinates, are K at (0.000, 0.000, 0.000), La at (0.000, 0.500, 0.000) and Os at (0.250, 0.250, 0.500).